Entry 1:
## Ce2DySi2Pt7 (PBE)

Data for a geometry-optimized Ce2DySi2Pt7 structure.

a = 4.084 Å, b = 4.084 Å, c = 13.861 Å
α = 95.65°, β = 95.65°, γ = 89.15°
Element x y z (fractional)
Ce1 0.108 0.108 0.356
Ce2 0.892 0.892 0.644
Dy1 0.000 0.000 0.000
Si1 0.415 0.415 0.749
Si2 0.585 0.585 0.251
Pt1 0.054 0.553 0.159
Pt2 0.382 0.382 0.576
Pt3 0.447 0.946 0.841
Pt4 0.500 0.500 0.000
Pt5 0.553 0.054 0.159
Pt6 0.618 0.618 0.424
Pt7 0.946 0.447 0.841

Calculated values
Formation energy from raw total energies in eV per atom: -1.0917


Entry 2:
## CeDySi2Pt5 (PBE)

Data for a geometry-optimized CeDySi2Pt5 structure.

a = 4.229 Å, b = 4.229 Å, c = 8.986 Å
α = 90.00°, β = 90.00°, γ = 90.00°
Element x y z (fractional)
Ce1 0.000 0.000 0.000
Dy1 0.000 0.000 0.500
Si1 0.500 0.500 0.370
Si2 0.500 0.500 0.630
Pt1 0.000 0.500 0.238
Pt2 0.000 0.500 0.762
Pt3 0.500 0.000 0.238
Pt4 0.500 0.000 0.762
Pt5 0.500 0.500 0.000

Calculated values
Formation energy from raw total energies in eV per atom: -1.0378


Entry 3:
## CeDy2Si3Pt4 (PBE)

Data for a geometry-optimized CeDy2Si3Pt4 structure.

a = 4.231 Å, b = 4.231 Å, c = 10.940 Å
α = 90.00°, β = 90.00°, γ = 90.00°
Element x y z (fractional)
Ce1 0.000 0.000 0.000
Dy1 0.000 0.500 0.720
Dy2 0.500 0.000 0.280
Si1 0.000 0.500 0.382
Si2 0.500 0.000 0.618
Si3 0.500 0.500 0.000
Pt1 0.000 0.000 0.500
Pt2 0.000 0.500 0.166
Pt3 0.500 0.000 0.834
Pt4 0.500 0.500 0.500

Calculated values
Formation energy from raw total energies in eV per atom: -0.9874


Entry 4:
## CeDyTcPt (PBE)

Data for a geometry-optimized CeDyTcPt structure.

a = 4.922 Å, b = 4.922 Å, c = 4.922 Å
α = 60.00°, β = 60.00°, γ = 60.00°
Element x y z (fractional)
Ce1 0.000 0.000 0.000
Dy1 0.500 0.500 0.500
Tc1 0.250 0.250 0.250
Pt1 0.750 0.750 0.750

Calculated values
Electronic total energy in eV per atom: -7.2529


Entry 5:
## CeDyZnPt (PBE)

Data for a geometry-optimized CeDyZnPt structure.

a = 5.041 Å, b = 5.041 Å, c = 5.041 Å
α = 60.00°, β = 60.00°, γ = 60.00°
Element x y z (fractional)
Ce1 0.000 0.000 0.000
Dy1 0.500 0.500 0.500
Zn1 0.250 0.250 0.250
Pt1 0.750 0.750 0.750

Calculated values
Electronic total energy in eV per atom: -5.1287


Entry 6:
## CeDyPu (PBE)

Data for a geometry-optimized CeDyPu structure.

a = 5.507 Å, b = 5.507 Å, c = 3.284 Å
α = 90.00°, β = 90.00°, γ = 120.00°
Element x y z (fractional)
Ce1 0.000 0.000 0.000
Dy1 0.667 0.333 0.500
Pu1 0.333 0.667 0.500

Calculated values
E above lowest polymorph in meV per atom: 87


Entry 7:
## Ce2DyPu (PBE)

Data for a geometry-optimized Ce2DyPu structure.

a = 3.381 Å, b = 3.381 Å, c = 9.665 Å
α = 90.00°, β = 90.00°, γ = 90.00°
Element x y z (fractional)
Ce1 0.000 0.000 0.229
Ce2 0.000 0.000 0.771
Dy1 0.500 0.500 0.500
Pu1 0.500 0.500 0.000

Calculated values
E above lowest polymorph in meV per atom: 0


Entry 8:
## CeDy2Pu (PBE)

Data for a geometry-optimized CeDy2Pu structure.

a = 11.628 Å, b = 11.628 Å, c = 11.628 Å
α = 17.27°, β = 17.27°, γ = 17.27°
Element x y z (fractional)
Ce1 0.000 0.000 0.000
Dy1 0.249 0.249 0.249
Dy2 0.418 0.418 0.418
Pu1 0.834 0.834 0.834

Calculated values
E above lowest polymorph in meV per atom: 1


Entry 9:
## CeDy2Pu (PBE)

Data for a geometry-optimized CeDy2Pu structure.

a = 12.241 Å, b = 12.241 Å, c = 12.241 Å
α = 15.99°, β = 15.99°, γ = 15.99°
Element x y z (fractional)
Ce1 0.000 0.000 0.000
Dy1 0.410 0.410 0.410
Dy2 0.590 0.590 0.590
Pu1 0.500 0.500 0.500

Calculated values
E above lowest polymorph in meV per atom: 131


Entry 10:
## Ce2DyPu (PBE)

Data for a geometry-optimized Ce2DyPu structure.

a = 5.468 Å, b = 5.468 Å, c = 5.468 Å
α = 60.00°, β = 60.00°, γ = 60.00°
Element x y z (fractional)
Ce1 0.250 0.250 0.250
Ce2 0.750 0.750 0.750
Dy1 0.000 0.000 0.000
Pu1 0.500 0.500 0.500

Calculated values
E above lowest polymorph in meV per atom: 89


Entry 11:
## Ce3DyPu (PBE)

Data for a geometry-optimized Ce3DyPu structure.

a = 8.491 Å, b = 8.491 Å, c = 12.167 Å
α = 101.44°, β = 101.44°, γ = 42.19°
Element x y z (fractional)
Ce1 0.022 0.200 0.026
Ce2 0.133 0.300 0.811
Ce3 0.200 0.022 0.526
Ce4 0.255 0.412 0.581
Ce5 0.300 0.133 0.311
Ce6 0.412 0.255 0.081
Ce7 0.588 0.745 0.919
Ce8 0.700 0.867 0.689
Ce9 0.745 0.588 0.419
Ce10 0.800 0.978 0.474
Ce11 0.867 0.700 0.189
Ce12 0.978 0.800 0.974
Dy1 0.371 0.517 0.361
Dy2 0.483 0.629 0.139
Dy3 0.517 0.371 0.861
Dy4 0.629 0.483 0.639
Pu1 0.000 0.500 0.000
Pu2 0.081 0.919 0.750
Pu3 0.500 0.000 0.500
Pu4 0.919 0.081 0.250

Calculated values
Electronic total energy in eV per atom: -7.3230


Entry 12:
## Ce2DyPu (PBE)

Data for a geometry-optimized Ce2DyPu structure.

a = 4.871 Å, b = 4.871 Å, c = 4.717 Å
α = 90.00°, β = 90.00°, γ = 90.00°
Element x y z (fractional)
Ce1 0.000 0.500 0.000
Ce2 0.500 0.000 0.000
Dy1 0.000 0.000 0.500
Pu1 0.500 0.500 0.500

Calculated values
E above lowest polymorph in meV per atom: 14


Entry 13:
## CeDy2Pu (PBE)

Data for a geometry-optimized CeDy2Pu structure.

a = 4.787 Å, b = 4.787 Å, c = 5.153 Å
α = 90.00°, β = 90.00°, γ = 90.00°
Element x y z (fractional)
Ce1 0.000 0.000 0.000
Dy1 0.000 0.500 0.500
Dy2 0.500 0.000 0.500
Pu1 0.500 0.500 0.000

Calculated values
E above lowest polymorph in meV per atom: 0


Entry 14:
## CeDy2Pu (PBE)

Data for a geometry-optimized CeDy2Pu structure.

a = 3.454 Å, b = 3.454 Å, c = 10.016 Å
α = 90.00°, β = 90.00°, γ = 90.00°
Element x y z (fractional)
Ce1 0.000 0.000 0.000
Dy1 0.500 0.500 0.250
Dy2 0.500 0.500 0.750
Pu1 0.000 0.000 0.500

Calculated values
E above lowest polymorph in meV per atom: 12


Entry 15:
## CeDyPu (PBE)

Data for a geometry-optimized CeDyPu structure.

a = 7.529 Å, b = 7.529 Å, c = 7.529 Å
α = 153.56°, β = 153.56°, γ = 37.74°
Element x y z (fractional)
Ce1 0.000 0.000 0.000
Dy1 0.321 0.321 0.000
Pu1 0.646 0.646 0.000

Calculated values
E above lowest polymorph in meV per atom: 0


Entry 16:
## CeDy14Pu (PBE)

Data for a geometry-optimized CeDy14Pu structure.

a = 11.298 Å, b = 7.195 Å, c = 7.195 Å
α = 59.63°, β = 90.00°, γ = 90.00°
Element x y z (fractional)
Ce1 0.000 0.000 0.000
Dy1 0.000 0.001 0.498
Dy2 0.000 0.498 0.001
Dy3 0.248 0.166 0.665
Dy4 0.248 0.663 0.663
Dy5 0.248 0.665 0.166
Dy6 0.251 0.164 0.164
Dy7 0.500 0.498 0.498
Dy8 0.500 0.499 0.998
Dy9 0.500 0.998 0.499
Dy10 0.500 0.999 0.999
Dy11 0.749 0.164 0.164
Dy12 0.752 0.166 0.665
Dy13 0.752 0.663 0.663
Dy14 0.752 0.665 0.166
Pu1 0.000 0.499 0.499

Calculated values
Electronic total energy in eV per atom: -5.2517


Entry 17:
## Ce4DyPu (PBE)

Data for a geometry-optimized Ce4DyPu structure.

a = 6.173 Å, b = 6.173 Å, c = 6.173 Å
α = 60.00°, β = 60.00°, γ = 60.00°
Element x y z (fractional)
Ce1 0.124 0.124 0.124
Ce2 0.124 0.124 0.629
Ce3 0.124 0.629 0.124
Ce4 0.629 0.124 0.124
Dy1 0.750 0.750 0.750
Pu1 0.500 0.500 0.500

Calculated values
Electronic total energy in eV per atom: -6.8514


Entry 18:
## Ce2DyPu (PBE)

Data for a geometry-optimized Ce2DyPu structure.

a = 9.544 Å, b = 9.544 Å, c = 9.544 Å
α = 21.97°, β = 21.97°, γ = 21.97°
Element x y z (fractional)
Ce1 0.000 0.000 0.000
Ce2 0.111 0.111 0.111
Dy1 0.561 0.561 0.561
Pu1 0.721 0.721 0.721

Calculated values
E above lowest polymorph in meV per atom: 249


Entry 19:
## CeDyPu (PBE)

Data for a geometry-optimized CeDyPu structure.

a = 6.218 Å, b = 3.294 Å, c = 8.315 Å
α = 90.00°, β = 90.00°, γ = 90.00°
Element x y z (fractional)
Ce1 0.250 0.000 0.232
Ce2 0.750 0.000 0.768
Dy1 0.250 0.500 0.863
Dy2 0.750 0.500 0.137
Pu1 0.000 0.500 0.500
Pu2 0.500 0.500 0.500

Calculated values
E above lowest polymorph in meV per atom: 103


Entry 20:
## CeDy2Pu (PBE)

Data for a geometry-optimized CeDy2Pu structure.

a = 5.568 Å, b = 5.568 Å, c = 5.568 Å
α = 60.00°, β = 60.00°, γ = 60.00°
Element x y z (fractional)
Ce1 0.000 0.000 0.000
Dy1 0.250 0.250 0.250
Dy2 0.750 0.750 0.750
Pu1 0.500 0.500 0.500

Calculated values
E above lowest polymorph in meV per atom: 132


Entry 21:
## Ce2DyPu (PBE)

Data for a geometry-optimized Ce2DyPu structure.

a = 10.065 Å, b = 10.065 Å, c = 10.065 Å
α = 20.41°, β = 20.41°, γ = 20.41°
Element x y z (fractional)
Ce1 0.113 0.113 0.113
Ce2 0.887 0.887 0.887
Dy1 0.000 0.000 0.000
Pu1 0.500 0.500 0.500

Calculated values
E above lowest polymorph in meV per atom: 353


Entry 22:
## CeDyPuRu (PBE)

Data for a geometry-optimized CeDyPuRu structure.

a = 5.052 Å, b = 5.052 Å, c = 5.052 Å
α = 60.00°, β = 60.00°, γ = 60.00°
Element x y z (fractional)
Ce1 0.000 0.000 0.000
Dy1 0.500 0.500 0.500
Pu1 0.750 0.750 0.750
Ru1 0.250 0.250 0.250

Calculated values
Electronic total energy in eV per atom: -8.4757


Entry 23:
## Ce2Dy3PuS6 (PBE)

Data for a geometry-optimized Ce2Dy3PuS6 structure.

a = 8.864 Å, b = 8.864 Å, c = 7.951 Å
α = 103.51°, β = 103.51°, γ = 25.66°
Element x y z (fractional)
Ce1 0.167 0.167 0.334
Ce2 0.833 0.833 0.666
Dy1 0.167 0.167 0.834
Dy2 0.500 0.500 0.500
Dy3 0.833 0.833 0.166
Pu1 0.500 0.500 0.000
S1 0.002 0.002 0.748
S2 0.332 0.332 0.923
S3 0.336 0.336 0.410
S4 0.664 0.664 0.590
S5 0.668 0.668 0.077
S6 0.998 0.998 0.252

Calculated values
Formation energy from raw total energies in eV per atom: -1.9916


Entry 24:
## Ce2DyPuS4 (PBE)

Data for a geometry-optimized Ce2DyPuS4 structure.

a = 6.860 Å, b = 3.956 Å, c = 6.924 Å
α = 90.00°, β = 109.26°, γ = 90.00°
Element x y z (fractional)
Ce1 0.000 0.000 0.000
Ce2 0.500 0.500 0.000
Dy1 0.000 0.500 0.500
Pu1 0.500 0.000 0.500
S1 0.245 0.000 0.740
S2 0.251 0.500 0.259
S3 0.749 0.500 0.741
S4 0.755 0.000 0.260

Calculated values
Formation energy from raw total energies in eV per atom: -1.9758


Entry 25:
## CeDy4Pu3S8 (PBE)

Data for a geometry-optimized CeDy4Pu3S8 structure.

a = 7.910 Å, b = 7.910 Å, c = 7.910 Å
α = 59.50°, β = 59.50°, γ = 59.50°
Element x y z (fractional)
Ce1 0.000 0.000 0.000
Dy1 0.000 0.000 0.500
Dy2 0.000 0.500 0.000
Dy3 0.500 0.000 0.000
Dy4 0.500 0.500 0.500
Pu1 0.000 0.500 0.500
Pu2 0.500 0.000 0.500
Pu3 0.500 0.500 0.000
S1 0.249 0.249 0.249
S2 0.251 0.746 0.746
S3 0.254 0.254 0.749
S4 0.254 0.749 0.254
S5 0.746 0.251 0.746
S6 0.746 0.746 0.251
S7 0.749 0.254 0.254
S8 0.751 0.751 0.751

Calculated values
Formation energy from raw total energies in eV per atom: -1.9399


Entry 26:
## CeDyPu2S4 (PBE)

Data for a geometry-optimized CeDyPu2S4 structure.

a = 6.852 Å, b = 3.952 Å, c = 6.871 Å
α = 90.00°, β = 109.31°, γ = 90.00°
Element x y z (fractional)
Ce1 0.000 0.000 0.000
Dy1 0.000 0.500 0.500
Pu1 0.500 0.000 0.500
Pu2 0.500 0.500 0.000
S1 0.250 0.000 0.745
S2 0.255 0.500 0.257
S3 0.745 0.500 0.743
S4 0.750 0.000 0.255

Calculated values
Formation energy from raw total energies in eV per atom: -1.9080


Number 1: total moment 1.6 μB/cell. Number 2: total moment 0.5 μB/cell. Number 3: total moment 0.0 μB/cell. Number 4: total moment 0.0 μB/cell. Number 5: total moment 0.6 μB/cell. Number 6: total moment 6.4 μB/cell. Number 7: total moment 4.4 μB/cell. Number 8: total moment 5.0 μB/cell. Number 9: total moment 6.1 μB/cell. Number 10: total moment 8.8 μB/cell. Number 11: total moment 15.6 μB/cell. Number 12: total moment 7.0 μB/cell. Number 13: total moment 7.3 μB/cell. Number 14: total moment 6.9 μB/cell. Number 15: total moment 5.2 μB/cell. Number 16: total moment 7.5 μB/cell. Number 17: total moment 4.1 μB/cell. Number 18: total moment 0.0 μB/cell. Number 19: total moment 11.4 μB/cell. Number 20: total moment 7.9 μB/cell. Number 21: total moment 1.3 μB/cell. Number 22: total moment 7.3 μB/cell. Number 23: total moment 7.5 μB/cell. Number 24: total moment 4.4 μB/cell. Number 25: total moment 17.8 μB/cell. Number 26: total moment 12.0 μB/cell.